Material: Tb2Ir3Os
Method: DFT, PBE-GGA
State: optimized geometry

The total energy comes out at -8.527 eV per atom. The formation energy comes out at -0.68 eV/atom. The calculation puts the magnetization at 0.00 μB/atom.

The structure belongs to space group P6_3/mmc (No. 194); the cell edges are 5.3882, 5.3882 and 8.6702 Å and the angles 90.00°, 90.00° and 120.00°. The inequivalent atoms are Tb at (0.3333, 0.6667, 0.0651), Ir at (0.1690, 0.3380, 0.7500) and Os at (0.0000, 0.0000, 0.0000).